The following is a PBEsol calculation of BaNb2FeH after structural relaxation, from Alexandria. Values from VASP.

Properties
**Size of the total moment**: 0.121 μB/f.u.
**Total DFT energy (no corrections)**: -6.095 eV per atom
**Theoretical density**: 4.8 Mg/m³

Cell and atoms, written as Quantum ESPRESSO input:
```
&SYSTEM
  ibrav = 0, nat = 5, ntyp = 4
/
ATOMIC_SPECIES
Ba 137.33 Ba.upf
Nb 92.91 Nb.upf
Fe 55.84 Fe.upf
H 1.01 H.upf
CELL_PARAMETERS angstrom
4.391 0.000 0.000
0.000 4.391 0.000
0.000 0.000 6.858
ATOMIC_POSITIONS angstrom
Ba 0.000 0.000 0.000
Nb 0.000 2.196 3.429
Nb 2.196 0.000 3.429
Fe 0.000 0.000 3.429
H 2.196 2.196 0.000
```

The following is a PBEsol calculation of Ba2SrFeH after structural relaxation, from Alexandria. Values from VASP.

Properties
**Size of the total moment**: 2.362 μB/f.u.
**Total DFT energy (no corrections)**: -3.230 eV per atom
**Theoretical density**: 4.7 Mg/m³

Cell and atoms, written as Quantum ESPRESSO input:
```
&SYSTEM
  ibrav = 0, nat = 5, ntyp = 4
/
ATOMIC_SPECIES
Ba 137.33 Ba.upf
Sr 87.62 Sr.upf
Fe 55.84 Fe.upf
H 1.01 H.upf
CELL_PARAMETERS angstrom
5.466 0.000 0.000
0.000 5.466 0.000
0.000 0.000 4.927
ATOMIC_POSITIONS angstrom
Ba 0.000 2.733 0.000
Ba 2.733 0.000 0.000
Sr 0.000 0.000 2.464
Fe 2.733 2.733 2.464
H 2.733 2.733 0.000
```

The following is a PBEsol calculation of BaZn2FeH after structural relaxation, from Alexandria. Values from VASP.

Properties
**Size of the total moment**: 2.471 μB/f.u.
**Total DFT energy (no corrections)**: -2.969 eV per atom
**Theoretical density**: 6.1 Mg/m³

Cell and atoms, written as Quantum ESPRESSO input:
```
&SYSTEM
  ibrav = 0, nat = 5, ntyp = 4
/
ATOMIC_SPECIES
Ba 137.33 Ba.upf
Zn 65.41 Zn.upf
Fe 55.84 Fe.upf
H 1.01 H.upf
CELL_PARAMETERS angstrom
5.239 0.000 0.000
0.000 5.239 0.000
0.000 0.000 3.243
ATOMIC_POSITIONS angstrom
Ba 0.000 0.000 0.000
Zn 0.000 2.620 1.622
Zn 2.620 0.000 1.622
Fe 2.620 2.620 0.000
H 2.620 2.620 1.622
```

The following is a PBEsol calculation of Ba3HfFe after structural relaxation, from Alexandria. Values from VASP.

Properties
**Size of the total moment**: 4.043 μB/f.u.
**ΔE_f**: 1.432 eV per atom
**Theoretical density**: 4.8 Mg/m³

Cell and atoms, written as Quantum ESPRESSO input:
```
&SYSTEM
  ibrav = 0, nat = 5, ntyp = 3
/
ATOMIC_SPECIES
Ba 137.33 Ba.upf
Hf 178.49 Hf.upf
Fe 55.84 Fe.upf
CELL_PARAMETERS angstrom
6.064 0.000 0.000
0.000 6.064 0.000
0.000 0.000 6.064
ATOMIC_POSITIONS angstrom
Ba 0.000 0.000 3.032
Ba 0.000 3.032 0.000
Ba 3.032 0.000 0.000
Hf 0.000 0.000 0.000
Fe 3.032 3.032 3.032
```

The following is a PBEsol calculation of Ba2HfFeP after structural relaxation, from Alexandria. Values from VASP.

Properties
**Size of the total moment**: 0.512 μB/f.u.
**ΔE_f**: 0.947 eV per atom
**Theoretical density**: 5.5 Mg/m³

Cell and atoms, written as Quantum ESPRESSO input:
```
&SYSTEM
  ibrav = 0, nat = 5, ntyp = 4
/
ATOMIC_SPECIES
Ba 137.33 Ba.upf
Hf 178.49 Hf.upf
Fe 55.84 Fe.upf
P 30.97 P.upf
CELL_PARAMETERS angstrom
6.141 0.000 0.000
0.000 6.141 0.000
0.000 0.000 4.322
ATOMIC_POSITIONS angstrom
Ba 0.000 3.070 0.000
Ba 3.070 0.000 0.000
Hf 0.000 0.000 0.000
Fe 0.000 0.000 2.161
P 3.070 3.070 2.161
```

The following is a PBEsol calculation of BaFeHg2 after structural relaxation, from Alexandria. Values from VASP.

Properties
**Size of the total moment**: 2.358 μB/f.u.
**ΔE_f**: 0.219 eV per atom
**Theoretical density**: 9.8 Mg/m³

Cell and atoms, written as Quantum ESPRESSO input:
```
&SYSTEM
  ibrav = 0, nat = 4, ntyp = 3
/
ATOMIC_SPECIES
Ba 137.33 Ba.upf
Fe 55.84 Fe.upf
Hg 200.59 Hg.upf
CELL_PARAMETERS angstrom
3.681 0.000 0.000
0.000 3.681 0.000
0.000 0.000 7.421
ATOMIC_POSITIONS angstrom
Ba 0.000 0.000 0.000
Fe 1.841 1.841 2.507
Hg 0.000 0.000 3.249
Hg 1.841 1.841 5.158
```

The following is a PBEsol calculation of BaFeHg2 after structural relaxation, from Alexandria. Values from VASP.

Properties
**Size of the total moment**: 2.591 μB/f.u.
**ΔE_f**: 0.073 eV per atom
**Theoretical density**: 9.2 Mg/m³

Cell and atoms, written as Quantum ESPRESSO input:
```
&SYSTEM
  ibrav = 0, nat = 4, ntyp = 3
/
ATOMIC_SPECIES
Ba 137.33 Ba.upf
Fe 55.84 Fe.upf
Hg 200.59 Hg.upf
CELL_PARAMETERS angstrom
3.979 -2.303 0.000
3.979 2.303 0.000
-2.657 0.000 5.878
ATOMIC_POSITIONS angstrom
Ba 0.000 0.000 0.000
Fe -0.008 0.000 3.313
Hg 2.647 0.000 3.609
Hg 5.301 0.000 2.340
```

The following is a PBEsol calculation of BaFeHg2 after structural relaxation, from Alexandria. Values from VASP.

Properties
**Size of the total moment**: 2.717 μB/f.u.
**ΔE_f**: 0.290 eV per atom
**Theoretical density**: 9.8 Mg/m³

Cell and atoms, written as Quantum ESPRESSO input:
```
&SYSTEM
  ibrav = 0, nat = 4, ntyp = 3
/
ATOMIC_SPECIES
Ba 137.33 Ba.upf
Fe 55.84 Fe.upf
Hg 200.59 Hg.upf
CELL_PARAMETERS angstrom
-2.433 2.433 4.273
2.433 -2.433 4.273
2.433 2.433 -4.273
ATOMIC_POSITIONS angstrom
Ba 0.000 0.000 0.000
Fe 0.000 0.000 4.273
Hg 2.433 0.000 2.136
Hg 0.000 2.433 2.136
```